Below is a geometry-optimized YScCl2 structure, with properties calculated at the PBE level.

Output
ΔE_f (raw) = -1088 meV/atom
energy relative to the lowest polymorph listed for this composition = 349 meV per atom

Lattice parameters (Å, degrees): 3.321 6.257 4.506 90.00 90.00 90.00
Sites, in units of the cell vectors:
Cl 0.000 0.000 0.000
Y 0.000 0.500 0.500
Cl 0.500 0.500 0.000
Sc 0.500 0.000 0.500

Below is a geometry-optimized Y2ScCl structure, with properties calculated at the PBE level.

Output
ΔE_f (raw) = -631 meV/atom
energy relative to the lowest polymorph listed for this composition = 0 meV per atom

Lattice parameters (Å, degrees): 9.881 9.881 9.881 20.76 20.76 20.76
Sites, in units of the cell vectors:
Cl 0.250 0.250 0.250
Sc 0.750 0.750 0.750
Y 0.508 0.508 0.508
Y 0.992 0.992 0.992